# 1
First-principles (PBEsol) data for a relaxed BeIr2Rh crystal, as listed in Alexandria.

The structure in CIF format:
```
data_BeIr2Rh
_cell_length_a 2.666
_cell_length_b 2.666
_cell_length_c 8.365
_cell_angle_alpha 90.00
_cell_angle_beta 90.00
_cell_angle_gamma 119.60
_space_group_name_H-M_alt 'P 1'
_space_group_IT_number 1
_space_group_name_Hall 'P 1'
loop_
_atom_site_label
_atom_site_type_symbol
_atom_site_fract_x
_atom_site_fract_y
_atom_site_fract_z
Ir1 Ir 0.000 0.000 0.029
Ir2 Ir 0.500 0.500 0.748
Rh1 Rh 0.000 0.000 0.471
Be1 Be 0.500 0.500 0.252
```

Properties
The formation energy from the elements comes out at 0.071 eV/atom.



# 2
First-principles (PBEsol) data for a relaxed PuCo2Si2 crystal, as listed in Alexandria.

The structure in CIF format:
```
data_PuCo2Si2
_cell_length_a 3.812
_cell_length_b 3.812
_cell_length_c 5.566
_cell_angle_alpha 110.02
_cell_angle_beta 110.02
_cell_angle_gamma 90.00
_space_group_name_H-M_alt 'P 1'
_space_group_IT_number 1
_space_group_name_Hall 'P 1'
loop_
_atom_site_label
_atom_site_type_symbol
_atom_site_fract_x
_atom_site_fract_y
_atom_site_fract_z
Si1 Si 0.373 0.373 0.746
Si2 Si 0.627 0.627 0.254
Co1 Co 0.250 0.750 0.500
Co2 Co 0.750 0.250 0.500
Pu1 Pu 0.000 0.000 0.000
```



# 3
First-principles (PBEsol) data for a relaxed Al2SiHg crystal, as listed in Alexandria.

The structure in CIF format:
```
data_Al2SiHg
_cell_length_a 2.828
_cell_length_b 2.828
_cell_length_c 9.861
_cell_angle_alpha 90.00
_cell_angle_beta 90.00
_cell_angle_gamma 112.62
_space_group_name_H-M_alt 'P 1'
_space_group_IT_number 1
_space_group_name_Hall 'P 1'
loop_
_atom_site_label
_atom_site_type_symbol
_atom_site_fract_x
_atom_site_fract_y
_atom_site_fract_z
Al1 Al 0.500 0.500 0.770
Al2 Al 0.000 0.000 0.006
Hg1 Hg 0.000 0.000 0.500
Si1 Si 0.500 0.500 0.224
```



# 4
First-principles (PBEsol) data for a relaxed Mn3SiTc crystal, as listed in Alexandria.

The structure in CIF format:
```
data_Mn3SiTc
_cell_length_a 4.042
_cell_length_b 4.042
_cell_length_c 4.042
_cell_angle_alpha 90.00
_cell_angle_beta 90.00
_cell_angle_gamma 90.00
_space_group_name_H-M_alt 'P 1'
_space_group_IT_number 1
_space_group_name_Hall 'P 1'
loop_
_atom_site_label
_atom_site_type_symbol
_atom_site_fract_x
_atom_site_fract_y
_atom_site_fract_z
Mn1 Mn 0.000 0.000 0.500
Mn2 Mn 0.500 0.000 0.000
Mn3 Mn 0.000 0.500 0.000
Tc1 Tc 0.500 0.500 0.500
Si1 Si 0.000 0.000 0.000
```



# 5
First-principles (PBEsol) data for a relaxed Nd12Re5C15 crystal, as listed in Alexandria.

The structure in CIF format:
```
data_Nd12Re5C15
_cell_length_a 5.284
_cell_length_b 10.904
_cell_length_c 10.904
_cell_angle_alpha 120.00
_cell_angle_beta 90.00
_cell_angle_gamma 90.00
_space_group_name_H-M_alt 'P 1'
_space_group_IT_number 1
_space_group_name_Hall 'P 1'
loop_
_atom_site_label
_atom_site_type_symbol
_atom_site_fract_x
_atom_site_fract_y
_atom_site_fract_z
Nd1 Nd 0.000 0.188 0.729
Nd2 Nd 0.000 0.271 0.458
Nd3 Nd 0.000 0.542 0.812
Nd4 Nd 0.500 0.000 0.423
Nd5 Nd 0.500 0.000 0.795
Nd6 Nd 0.000 0.458 0.271
Nd7 Nd 0.500 0.795 0.000
Nd8 Nd 0.000 0.729 0.188
Nd9 Nd 0.500 0.577 0.577
Nd10 Nd 0.500 0.423 0.000
Nd11 Nd 0.000 0.812 0.542
Nd12 Nd 0.500 0.205 0.205
Re1 Re 0.500 0.333 0.667
Re2 Re 0.000 0.000 0.152
Re3 Re 0.000 0.848 0.848
Re4 Re 0.500 0.667 0.333
Re5 Re 0.000 0.152 0.000
C1 C 0.500 0.812 0.527
C2 C 0.000 0.791 0.000
C3 C 0.000 0.000 0.453
C4 C 0.000 0.672 0.672
C5 C 0.500 0.527 0.812
C6 C 0.500 0.473 0.285
C7 C 0.500 0.188 0.715
C8 C 0.000 0.547 0.547
C9 C 0.000 0.328 0.000
C10 C 0.500 0.715 0.188
C11 C 0.000 0.000 0.328
C12 C 0.000 0.209 0.209
C13 C 0.000 0.453 0.000
C14 C 0.000 0.000 0.791
C15 C 0.500 0.285 0.473
```

Properties
The formation energy from the elements comes out at -0.267 eV/atom.



# 6
First-principles (PBEsol) data for a relaxed PRu3Pb crystal, as listed in Alexandria.

The structure in CIF format:
```
data_PRu3Pb
_cell_length_a 4.352
_cell_length_b 4.352
_cell_length_c 4.352
_cell_angle_alpha 90.00
_cell_angle_beta 90.00
_cell_angle_gamma 90.00
_space_group_name_H-M_alt 'P 1'
_space_group_IT_number 1
_space_group_name_Hall 'P 1'
loop_
_atom_site_label
_atom_site_type_symbol
_atom_site_fract_x
_atom_site_fract_y
_atom_site_fract_z
Ru1 Ru 0.000 0.000 0.500
Ru2 Ru 0.000 0.500 0.000
Ru3 Ru 0.500 0.000 0.000
Pb1 Pb 0.500 0.500 0.500
P1 P 0.000 0.000 0.000
```

Properties
The formation energy from the elements comes out at 0.373 eV/atom.



# 7
First-principles (PBEsol) data for a relaxed Fe3SnSb crystal, as listed in Alexandria.

The structure in CIF format:
```
data_Fe3SnSb
_cell_length_a 4.674
_cell_length_b 4.674
_cell_length_c 4.674
_cell_angle_alpha 90.00
_cell_angle_beta 90.00
_cell_angle_gamma 90.00
_space_group_name_H-M_alt 'P 1'
_space_group_IT_number 1
_space_group_name_Hall 'P 1'
loop_
_atom_site_label
_atom_site_type_symbol
_atom_site_fract_x
_atom_site_fract_y
_atom_site_fract_z
Fe1 Fe 0.000 0.500 0.000
Fe2 Fe 0.000 0.000 0.500
Fe3 Fe 0.500 0.000 0.000
Sn1 Sn 0.500 0.500 0.500
Sb1 Sb 0.000 0.000 0.000
```



# 8
First-principles (PBEsol) data for a relaxed KCuHIr2 crystal, as listed in Alexandria.

The structure in CIF format:
```
data_KCuHIr2
_cell_length_a 4.714
_cell_length_b 4.714
_cell_length_c 4.598
_cell_angle_alpha 90.00
_cell_angle_beta 90.00
_cell_angle_gamma 90.00
_space_group_name_H-M_alt 'P 1'
_space_group_IT_number 1
_space_group_name_Hall 'P 1'
loop_
_atom_site_label
_atom_site_type_symbol
_atom_site_fract_x
_atom_site_fract_y
_atom_site_fract_z
Ir1 Ir 0.500 0.000 0.000
Ir2 Ir 0.000 0.500 0.000
K1 K 0.000 0.000 0.000
H1 H 0.500 0.500 0.500
Cu1 Cu 0.000 0.000 0.500
```



# 9
First-principles (PBEsol) data for a relaxed CrMoOs2W crystal, as listed in Alexandria.

The structure in CIF format:
```
data_CrMoOs2W
_cell_length_a 4.411
_cell_length_b 4.629
_cell_length_c 4.629
_cell_angle_alpha 90.00
_cell_angle_beta 90.00
_cell_angle_gamma 90.00
_space_group_name_H-M_alt 'P 1'
_space_group_IT_number 1
_space_group_name_Hall 'P 1'
loop_
_atom_site_label
_atom_site_type_symbol
_atom_site_fract_x
_atom_site_fract_y
_atom_site_fract_z
Os1 Os 0.000 0.000 0.500
Os2 Os 0.000 0.500 0.000
Cr1 Cr 0.500 0.000 0.000
Mo1 Mo 0.500 0.500 0.500
W1 W 0.000 0.000 0.000
```

Properties
The formation energy from the elements comes out at 2.280 eV/atom.



no.,calculated total energy (hartree per atom)
1,-0.289
2,-0.331
3,-0.123
4,-0.301
5,-0.324
6,-0.283
7,-0.221
8,-0.083
9,-0.359